(1)
The following is a PBE calculation of an optimized crystal structure of Tb3SmAg3, from the Alexandria database.

abc: 7.3772 7.3772 6.9917
angles: 90.40 90.40 93.99
With the nearest neighbours (Å) after each atom.
Fractional positions:
Tb (0.1841, 0.8159, 0.0000)  6 Ag 2.96-3.19
Tb (0.2586, 0.7414, 0.5000)  6 Ag 3.11-3.19
Tb (0.3790, 0.3790, 0.1624)  3 Ag 2.93-3.24
Tb (0.6210, 0.6210, 0.8376)  3 Ag 2.93-3.24
Tb (0.7414, 0.2586, 0.5000)  6 Ag 3.11-3.19
Tb (0.8159, 0.1841, 0.0000)  6 Ag 2.96-3.19
Sm (0.2558, 0.2558, 0.6563)  3 Ag 2.97-3.01
Sm (0.7442, 0.7442, 0.3437)  3 Ag 2.97-3.01
Ag (0.0071, 0.4773, 0.2306)  5 Tb 2.93-3.19, 1 Sm 2.97, 2 Ag 3.10-3.25
Ag (0.0747, 0.0747, 0.3107)  2 Sm 3.01-3.34, 5 Tb 3.03-3.24, 3 Ag 3.06-3.10
Ag (0.4773, 0.0071, 0.2306)  5 Tb 2.93-3.19, 1 Sm 2.97, 2 Ag 3.10-3.25
Ag (0.5227, 0.9929, 0.7694)  5 Tb 2.93-3.19, 1 Sm 2.97, 2 Ag 3.10-3.25
Ag (0.9253, 0.9253, 0.6893)  2 Sm 3.01-3.34, 5 Tb 3.03-3.24, 3 Ag 3.06-3.10
Ag (0.9929, 0.5227, 0.7694)  5 Tb 2.93-3.19, 1 Sm 2.97, 2 Ag 3.10-3.25

theoretical density	8.32	Mg/m³
SG	C2/m (12)
DOS at the Fermi energy	13.8	states/eV/cell
energy of formation	-0.14	eV per atom

(2)
The following is a PBE calculation of an optimized crystal structure of TbSm2Ag, from the Alexandria database.

abc: 10.7574 10.7574 10.7574
angles: 19.44 19.44 19.44
With the nearest neighbours (Å) after each atom.
Fractional positions:
Tb (0.0000, 0.0000, 0.0000)  6 Sm 3.57-3.58, 6 Tb 3.63
Sm (0.2415, 0.2415, 0.2415)  3 Ag 3.18
Sm (0.4245, 0.4245, 0.4245)  3 Ag 3.16
Ag (0.8325, 0.8325, 0.8325)  6 Sm 3.16-3.18

theoretical density	7.81	Mg/m³
SG	R3m (160)
DOS at the Fermi energy	5.1	states/eV/cell
energy above the most stable polymorph in this dataset	121.9	meV/atom
energy of formation	0.00	eV per atom

(3)
The following is a PBE calculation of an optimized crystal structure of TbSmAg, from the Alexandria database.

abc: 6.3799 6.3799 8.7179
angles: 120.87 120.87 34.16
With the nearest neighbours (Å) after each atom.
Fractional positions:
Tb (0.1536, 0.1536, 0.0501)  3 Ag 3.08-3.20, 1 Tb 3.36
Tb (0.8464, 0.8464, 0.9499)  3 Ag 3.08-3.20, 1 Tb 3.36
Sm (0.4093, 0.4093, 0.6515)  5 Ag 3.16-3.45
Sm (0.5907, 0.5907, 0.3485)  5 Ag 3.16-3.45
Ag (0.1327, 0.1327, 0.6682)  1 Ag 2.98, 3 Tb 3.08-3.20, 4 Sm 3.16-3.24
Ag (0.8673, 0.8673, 0.3318)  1 Ag 2.98, 3 Tb 3.08-3.20, 4 Sm 3.16-3.24

theoretical density	8.24	Mg/m³
SG	C2/m (12)
DOS at the Fermi energy	6.9	states/eV/cell
energy above the most stable polymorph in this dataset	2.2	meV/atom
energy of formation	-0.16	eV per atom

(4)
The following is a PBE calculation of an optimized crystal structure of TbSm2Ag2, from the Alexandria database.

abc: 8.4100 8.4100 9.1952
angles: 90.00 90.00 154.55
With the nearest neighbours (Å) after each atom.
Fractional positions:
Tb (0.0422, 0.9578, 0.5000)  6 Ag 3.07-3.16
Tb (0.9578, 0.0422, 0.0000)  6 Ag 3.07-3.16
Sm (0.1792, 0.8208, 0.8422)  5 Ag 2.98-3.12
Sm (0.3663, 0.6337, 0.6655)  1 Ag 3.04
Sm (0.6337, 0.3663, 0.1655)  1 Ag 3.04
Sm (0.8208, 0.1792, 0.3422)  5 Ag 2.98-3.12
Ag (0.3084, 0.6916, 0.0706)  3 Sm 2.98-3.12, 1 Ag 3.13, 2 Tb 3.14
Ag (0.4592, 0.5408, 0.2783)  3 Sm 2.99-3.04, 4 Tb 3.07-3.16, 1 Ag 3.13
Ag (0.5408, 0.4592, 0.7783)  3 Sm 2.99-3.04, 4 Tb 3.07-3.16, 1 Ag 3.13
Ag (0.6916, 0.3084, 0.5706)  3 Sm 2.98-3.12, 1 Ag 3.13, 2 Tb 3.14

theoretical density	8.03	Mg/m³
SG	Cmc2_1 (36)
DOS at the Fermi energy	10.4	states/eV/cell
energy above the most stable polymorph in this dataset	95.2	meV/atom
energy of formation	-0.11	eV per atom

(5)
The following is a PBE calculation of an optimized crystal structure of TbSm3Ag3, from the Alexandria database.

abc: 7.3985 7.3985 7.1191
angles: 90.84 90.84 94.31
With the nearest neighbours (Å) after each atom.
Fractional positions:
Tb (0.2443, 0.2443, 0.3599)  3 Ag 2.92-2.93
Tb (0.7557, 0.7557, 0.6401)  3 Ag 2.92-2.93
Sm (0.1348, 0.1348, 0.8621)  3 Ag 3.01-3.27
Sm (0.2334, 0.7666, 0.5000)  6 Ag 3.14-3.25
Sm (0.3203, 0.6797, 0.0000)  6 Ag 2.98-3.21
Sm (0.6797, 0.3203, 0.0000)  6 Ag 2.98-3.21
Sm (0.7666, 0.2334, 0.5000)  6 Ag 3.14-3.25
Sm (0.8652, 0.8652, 0.1379)  3 Ag 3.01-3.27
Ag (0.0145, 0.5040, 0.7707)  1 Tb 2.92, 5 Sm 2.98-3.21, 1 Ag 3.24
Ag (0.4311, 0.4311, 0.6808)  1 Tb 2.93, 3 Ag 2.95-3.24, 5 Sm 3.06-3.27
Ag (0.4960, 0.9855, 0.2293)  1 Tb 2.92, 5 Sm 2.98-3.21, 1 Ag 3.24
Ag (0.5040, 0.0145, 0.7707)  1 Tb 2.92, 5 Sm 2.98-3.21, 1 Ag 3.24
Ag (0.5689, 0.5689, 0.3192)  1 Tb 2.93, 3 Ag 2.95-3.24, 5 Sm 3.06-3.27
Ag (0.9855, 0.4960, 0.2293)  1 Tb 2.92, 5 Sm 2.98-3.21, 1 Ag 3.24

theoretical density	7.98	Mg/m³
SG	C2/m (12)
DOS at the Fermi energy	12.4	states/eV/cell
energy of formation	-0.13	eV per atom

(6)
The following is a PBE calculation of an optimized crystal structure of TbSmAg, from the Alexandria database.

abc: 4.7769 4.7769 7.6097
angles: 90.00 90.00 90.00
With the nearest neighbours (Å) after each atom.
Fractional positions:
Tb (0.2500, 0.7500, 0.0000)  4 Ag 3.04, 4 Tb 3.38
Tb (0.7500, 0.2500, 0.0000)  4 Ag 3.04, 4 Tb 3.38
Sm (0.2500, 0.2500, 0.3699)  1 Ag 2.91
Sm (0.7500, 0.7500, 0.6301)  1 Ag 2.91
Ag (0.2500, 0.2500, 0.7525)  1 Sm 2.91, 4 Tb 3.04
Ag (0.7500, 0.7500, 0.2475)  1 Sm 2.91, 4 Tb 3.04

theoretical density	7.98	Mg/m³
SG	P4/nmm (129)
DOS at the Fermi energy	9.5	states/eV/cell
energy above the most stable polymorph in this dataset	62.6	meV/atom
energy of formation	-0.10	eV per atom

(7)
The following is a PBE calculation of an optimized crystal structure of Tb3SmAg4, from the Alexandria database.

abc: 3.6447 5.2019 10.4114
angles: 90.00 90.00 90.00
With the nearest neighbours (Å) after each atom.
Fractional positions:
Tb (0.0000, 0.0000, 0.0000)  8 Ag 3.14-3.18
Tb (0.0000, 0.5000, 0.2489)  8 Ag 3.17-3.19
Tb (0.0000, 0.5000, 0.7511)  8 Ag 3.17-3.19
Sm (0.0000, 0.0000, 0.5000)  8 Ag 3.18-3.22
Ag (0.5000, 0.0000, 0.2456)  6 Tb 3.14-3.18, 2 Sm 3.22
Ag (0.5000, 0.0000, 0.7544)  6 Tb 3.14-3.18, 2 Sm 3.22
Ag (0.5000, 0.5000, 0.0000)  8 Tb 3.17-3.18
Ag (0.5000, 0.5000, 0.5000)  4 Sm 3.18, 4 Tb 3.19

theoretical density	8.91	Mg/m³
SG	Pmmm (47)
DOS at the Fermi energy	5.4	states/eV/cell
energy of formation	-0.30	eV per atom

(8)
The following is a PBE calculation of an optimized crystal structure of TbSmAg6, from the Alexandria database.

abc: 5.5595 5.5595 5.5595
angles: 96.36 96.36 96.36
With the nearest neighbours (Å) after each atom.
Fractional positions:
Tb (0.0000, 0.0000, 0.0000)  12 Ag 3.06-3.17
Sm (0.5000, 0.5000, 0.5000)  12 Ag 3.08-3.17
Ag (0.0338, 0.4652, 0.7518)  4 Ag 2.82-2.92, 1 Tb 3.06, 1 Sm 3.08
Ag (0.2482, 0.9662, 0.5348)  4 Ag 2.82-2.92, 1 Tb 3.06, 1 Sm 3.08
Ag (0.4652, 0.7518, 0.0338)  4 Ag 2.82-2.92, 1 Tb 3.06, 1 Sm 3.08
Ag (0.5348, 0.2482, 0.9662)  4 Ag 2.82-2.92, 1 Tb 3.06, 1 Sm 3.08
Ag (0.7518, 0.0338, 0.4652)  4 Ag 2.82-2.92, 1 Tb 3.06, 1 Sm 3.08
Ag (0.9662, 0.5348, 0.2482)  4 Ag 2.82-2.92, 1 Tb 3.06, 1 Sm 3.08

theoretical density	9.43	Mg/m³
SG	R-3 (148)
DOS at the Fermi energy	1.1	states/eV/cell
energy of formation	-0.24	eV per atom

Electronic total energy values, unit eV for the cell shown, following the record order: -56.26, -16.92, -25.35, -40.68, -56.44, -24.99, -32.44, -28.38.